No. 1
{"formula": "Be2CuMo", "functional": "GGA-PBE", "state": "relaxed", "crystal_system": "monoclinic", "formation_energy_kcal_per_mol_atoms": 1.2, "lattice_angstrom": [[2.5822, 0.0000, 0.0000], [0.0000, 3.6655, 0.0000], [-1.2785, 0.0000, 4.6916]], "species": ["Be", "Be", "Cu", "Mo"], "frac_coords": [[0.0000, 0.0000, 0.0000], [0.1227, 0.5000, 0.2533], [0.7114, 0.0000, 0.4281], [0.3914, 0.5000, 0.7808]]}

=====

No. 2
{"formula": "NaAgClF2", "functional": "GGA-PBE", "state": "relaxed", "crystal_system": "tetragonal", "e_form_raw_kj_per_mol_atoms": -136.4, "lattice_angstrom": [[4.3364, 0.0000, 0.0000], [0.0000, 4.3364, 0.0000], [0.0000, 0.0000, 5.1135]], "species": ["Na", "Ag", "Cl", "F", "F"], "frac_coords": [[0.0000, 0.0000, 0.0000], [0.5000, 0.5000, 0.5000], [0.5000, 0.5000, 0.0000], [0.0000, 0.5000, 0.5000], [0.5000, 0.0000, 0.5000]]}

=====

No. 3
{"formula": "Tm4Al12Cu", "functional": "GGA-PBE", "state": "relaxed", "crystal_system": "cubic", "formation_energy_kcal_per_mol_atoms": -9.4, "lattice_angstrom": [[-4.2862, 4.2862, 4.2862], [4.2862, -4.2862, 4.2862], [4.2862, 4.2862, -4.2862]], "species": ["Tm", "Tm", "Tm", "Tm", "Al", "Al", "Al", "Al", "Al", "Al", "Al", "Al", "Al", "Al", "Al", "Al", "Cu"], "frac_coords": [[0.0000, 0.0000, 0.5000], [0.0000, 0.5000, 0.0000], [0.5000, 0.0000, 0.0000], [0.5000, 0.5000, 0.5000], [0.0000, 0.2908, 0.2908], [0.0000, 0.7092, 0.7092], [0.2500, 0.5000, 0.7500], [0.2500, 0.7500, 0.5000], [0.2908, 0.0000, 0.2908], [0.2908, 0.2908, 0.0000], [0.5000, 0.2500, 0.7500], [0.5000, 0.7500, 0.2500], [0.7092, 0.0000, 0.7092], [0.7092, 0.7092, 0.0000], [0.7500, 0.2500, 0.5000], [0.7500, 0.5000, 0.2500], [0.0000, 0.0000, 0.0000]]}

=====

No. 4
{"formula": "TbY2Pd", "functional": "GGA-PBE", "state": "relaxed", "crystal_system": "tetragonal", "formation_energy_kcal_per_mol_atoms": -9.2, "lattice_angstrom": [[3.5886, 0.0000, 0.0000], [0.0000, 3.5886, 0.0000], [0.0000, 0.0000, 8.4716]], "species": ["Tb", "Y", "Y", "Pd"], "frac_coords": [[0.0000, 0.0000, 0.0000], [0.5000, 0.5000, 0.3014], [0.5000, 0.5000, 0.6986], [0.0000, 0.0000, 0.5000]]}

=====

No. 5
{"formula": "Li2BeOs", "functional": "GGA-PBE", "state": "relaxed", "crystal_system": "tetragonal", "formation_energy_kcal_per_mol_atoms": 8.2, "lattice_angstrom": [[2.4949, 0.0000, 0.0000], [0.0000, 2.4949, 0.0000], [0.0000, 0.0000, 8.4271]], "species": ["Li", "Li", "Be", "Os"], "frac_coords": [[0.0000, 0.0000, 0.2441], [0.0000, 0.0000, 0.7559], [0.5000, 0.5000, 0.0000], [0.5000, 0.5000, 0.5000]]}

=====

No. 6
{"formula": "CuNi8Ir2", "functional": "GGA-PBE", "state": "relaxed", "crystal_system": "orthorhombic", "formation_energy_kcal_per_mol_atoms": 4.0, "lattice_angstrom": [[-2.0437, 2.7973, 5.8819], [2.0437, -2.7973, 5.8819], [2.0437, 2.7973, -5.8819]], "species": ["Cu", "Ni", "Ni", "Ni", "Ni", "Ni", "Ni", "Ni", "Ni", "Ir", "Ir"], "frac_coords": [[0.0000, 0.0000, 0.0000], [0.1417, 0.8587, 0.2830], [0.1668, 0.6668, 0.5000], [0.2791, 0.5000, 0.7791], [0.4243, 0.1413, 0.2830], [0.5757, 0.8587, 0.7170], [0.7209, 0.5000, 0.2209], [0.8332, 0.3332, 0.5000], [0.8583, 0.1413, 0.7170], [0.3084, 0.3084, 0.0000], [0.6916, 0.6916, 0.0000]]}

=====

No. 7
{"formula": "CsSr2Cu2", "functional": "GGA-PBE", "state": "relaxed", "crystal_system": "tetragonal", "formation_energy_kcal_per_mol_atoms": 6.2, "lattice_angstrom": [[9.5134, 0.0000, 0.0000], [0.0000, 9.5134, 0.0000], [0.0000, 0.0000, 3.7786]], "species": ["Cs", "Cs", "Sr", "Sr", "Sr", "Sr", "Cu", "Cu", "Cu", "Cu"], "frac_coords": [[0.0000, 0.0000, 0.0000], [0.5000, 0.5000, 0.0000], [0.1351, 0.3649, 0.0000], [0.3649, 0.8649, 0.0000], [0.6351, 0.1351, 0.0000], [0.8649, 0.6351, 0.0000], [0.1489, 0.6489, 0.5000], [0.3511, 0.1489, 0.5000], [0.6489, 0.8511, 0.5000], [0.8511, 0.3511, 0.5000]]}

=====

No. 8
{"formula": "Cu4Mo3", "functional": "GGA-PBE", "state": "relaxed", "crystal_system": "hexagonal", "formation_energy_kcal_per_mol_atoms": 10.3, "lattice_angstrom": [[5.0156, 0.0000, 0.0000], [-2.5078, 4.3437, 0.0000], [0.0000, 0.0000, 4.8033]], "species": ["Cu", "Cu", "Cu", "Cu", "Mo", "Mo", "Mo"], "frac_coords": [[0.0000, 0.0000, 0.2466], [0.0000, 0.0000, 0.7534], [0.3333, 0.6667, 0.0000], [0.6667, 0.3333, 0.0000], [0.0000, 0.5000, 0.5000], [0.5000, 0.0000, 0.5000], [0.5000, 0.5000, 0.5000]]}

=====

no.,total magnetic moment (μB per atom)
1,0.000
2,0.000
3,0.000
4,0.000
5,0.000
6,0.506
7,0.000
8,0.000